# 1
VASP calculation (PBE) on MgTaMo2 after structural relaxation.

It has space group P4mm (No. 99), with a = 3.2145 Å, b = 3.2145 Å, c = 6.7494 Å, α = 90.00°, β = 90.00° and γ = 90.00°. The asymmetric unit holds Mg at (0.0000, 0.0000, 0.0000), Ta at (0.5000, 0.5000, 0.7089), Mo at (0.0000, 0.0000, 0.4767) and Mo at (0.5000, 0.5000, 0.2640).

Its calculated formation energy is 0.2249 eV per atom. The total magnetization is 0.0 μB/f.u. As for the calculated volume: 17.4 A^3/atom.


# 2
VASP calculation (PBE) on MgTa2Mo after structural relaxation.

It has space group P2/m (No. 10), with a = 2.7861 Å, b = 4.6348 Å, c = 5.5985 Å, α = 90.00°, β = 99.56° and γ = 90.00°. The asymmetric unit holds Mg at (0.0000, 0.0000, 0.0000), Ta at (0.2723, 0.5000, 0.7352) and Mo at (0.5000, 0.0000, 0.5000).

Its calculated formation energy is 0.1673 eV per atom. The total magnetization is 0.0 μB/f.u. As for the calculated volume: 17.8 A^3/atom.


# 3
VASP calculation (PBE) on MgTaMo2 after structural relaxation.

It has space group Cmm2 (No. 35), with a = 3.2196 Å, b = 4.6009 Å, c = 9.3541 Å, α = 90.00°, β = 90.00° and γ = 90.00°. The asymmetric unit holds Mg at (0.0000, 0.0000, 0.0000), Ta at (0.0000, 0.5000, 0.7246), Mo at (0.0000, 0.0000, 0.4847) and Mo at (0.0000, 0.5000, 0.2567).

Its calculated formation energy is 0.1294 eV per atom. The total magnetization is 0.0 μB/f.u. As for the calculated volume: 17.3 A^3/atom.


# 4
VASP calculation (PBE) on MgTa4Mo after structural relaxation.

It has space group F-43m (No. 216), with a = 7.7063 Å, b = 7.7063 Å, c = 7.7063 Å, α = 90.00°, β = 90.00° and γ = 90.00°. The asymmetric unit holds Mg at (0.0000, 0.0000, 0.0000), Ta at (0.1240, 0.1240, 0.3760) and Mo at (0.2500, 0.2500, 0.7500).

Its calculated formation energy is 0.4561 eV per atom. The total magnetization is 0.0 μB/f.u. As for the calculated volume: 19.1 A^3/atom.


# 5
VASP calculation (PBE) on MgTaMo2 after structural relaxation.

It has space group I-42d (No. 122), with a = 7.2633 Å, b = 7.2633 Å, c = 5.5680 Å, α = 90.00°, β = 90.00° and γ = 90.00°. The asymmetric unit holds Mg at (0.0000, 0.0000, 0.0000), Ta at (0.0000, 0.0000, 0.5000) and Mo at (0.2368, 0.2500, 0.6250).

Its calculated formation energy is 0.9141 eV per atom. The total magnetization is 0.0 μB/f.u. As for the calculated volume: 18.4 A^3/atom.


# 6
VASP calculation (PBE) on Mg2TcMo after structural relaxation.

It has space group P4mm (No. 99), with a = 3.1842 Å, b = 3.1842 Å, c = 7.0056 Å, α = 90.00°, β = 90.00° and γ = 90.00°. The asymmetric unit holds Mg at (0.0000, 0.0000, 0.0000), Mg at (0.5000, 0.5000, 0.2985), Tc at (0.5000, 0.5000, 0.7443) and Mo at (0.0000, 0.0000, 0.5649).

The calculation puts the energy above the most stable polymorph in this dataset at 0.0000 eV per atom. Its calculated formation energy is 0.0607 eV per atom. The total magnetization is 0.0 μB/f.u. As for the calculated volume: 17.8 A^3/atom.


# 7
VASP calculation (PBE) on MgTcMo2 after structural relaxation.

It has space group Cmmm (No. 65), with a = 3.1487 Å, b = 4.4564 Å, c = 9.2114 Å, α = 90.00°, β = 90.00° and γ = 90.00°. The asymmetric unit holds Mg at (0.0000, 0.0000, 0.0000), Tc at (0.0000, 0.0000, 0.5000) and Mo at (0.0000, 0.5000, 0.2639).

Its calculated formation energy is 0.2135 eV per atom. The total magnetization is 0.0 μB/f.u. As for the calculated volume: 16.2 A^3/atom.


# 8
VASP calculation (PBE) on Mg2TcMo after structural relaxation.

It has space group Fm-3m (No. 225), with a = 6.4387 Å, b = 6.4387 Å, c = 6.4387 Å, α = 90.00°, β = 90.00° and γ = 90.00°. The asymmetric unit holds Mg at (0.2500, 0.2500, 0.2500), Tc at (0.0000, 0.0000, 0.0000) and Mo at (0.0000, 0.0000, 0.5000).

The calculation puts the energy above the most stable polymorph in this dataset at 0.6419 eV per atom. Its calculated formation energy is 0.7026 eV per atom. The total magnetization is 2.0 μB/f.u. As for the calculated volume: 16.7 A^3/atom.